Record 1
Below is an optimized crystal structure of Na2TaVH, with properties calculated at the GGA-PBE level.

CIF file:
```
data_Na2TaVH
_chemical_formula_sum 'Na2 Ta1 V1 H1'
_symmetry_space_group_name_H-M 'P 1'
_symmetry_Int_Tables_number 1
_cell_length_a 3.944
_cell_length_b 5.223
_cell_length_c 3.944
_cell_angle_alpha 90.00
_cell_angle_beta 90.00
_cell_angle_gamma 90.00
loop_
_symmetry_equiv_pos_as_xyz
'x,y,z'
loop_
_atom_site_label
_atom_site_type_symbol
_atom_site_fract_x
_atom_site_fract_y
_atom_site_fract_z
_atom_site_occupancy
Na1 Na 0.000 0.000 0.500 1
Na2 Na 0.500 0.000 0.000 1
V1 V 0.500 0.500 0.500 1
H1 H 0.000 0.000 0.000 1
Ta1 Ta 0.000 0.500 0.000 1
```

Record 2
Below is an optimized crystal structure of NaTaH2W, with properties calculated at the GGA-PBE level.

CIF file:
```
data_NaTaH2W
_chemical_formula_sum 'Na1 Ta1 H2 W1'
_symmetry_space_group_name_H-M 'P 1'
_symmetry_Int_Tables_number 1
_cell_length_a 3.914
_cell_length_b 4.976
_cell_length_c 3.914
_cell_angle_alpha 90.00
_cell_angle_beta 90.00
_cell_angle_gamma 90.00
loop_
_symmetry_equiv_pos_as_xyz
'x,y,z'
loop_
_atom_site_label
_atom_site_type_symbol
_atom_site_fract_x
_atom_site_fract_y
_atom_site_fract_z
_atom_site_occupancy
Na1 Na 0.500 0.500 0.500 1
H1 H 0.000 0.000 0.500 1
H2 H 0.500 0.000 0.000 1
W1 W 0.000 0.500 0.000 1
Ta1 Ta 0.000 0.000 0.000 1
```

Record 3
Below is an optimized crystal structure of NaTb2H, with properties calculated at the GGA-PBE level.

CIF file:
```
data_NaTb2H
_chemical_formula_sum 'Na1 Tb2 H1'
_symmetry_space_group_name_H-M 'P 1'
_symmetry_Int_Tables_number 1
_cell_length_a 3.544
_cell_length_b 3.544
_cell_length_c 9.847
_cell_angle_alpha 79.63
_cell_angle_beta 79.63
_cell_angle_gamma 60.00
loop_
_symmetry_equiv_pos_as_xyz
'x,y,z'
loop_
_atom_site_label
_atom_site_type_symbol
_atom_site_fract_x
_atom_site_fract_y
_atom_site_fract_z
_atom_site_occupancy
Na1 Na 0.000 0.000 0.000 1
Tb1 Tb 0.120 0.120 0.639 1
Tb2 Tb 0.880 0.880 0.361 1
H1 H 0.500 0.500 0.500 1
```

Record 4
Below is an optimized crystal structure of Na5Tb3H12, with properties calculated at the GGA-PBE level.

CIF file:
```
data_Na5Tb3H12
_chemical_formula_sum 'Na20 Tb12 H48'
_symmetry_space_group_name_H-M 'P 1'
_symmetry_Int_Tables_number 1
_cell_length_a 11.111
_cell_length_b 11.111
_cell_length_c 11.111
_cell_angle_alpha 109.47
_cell_angle_beta 109.47
_cell_angle_gamma 109.47
loop_
_symmetry_equiv_pos_as_xyz
'x,y,z'
loop_
_atom_site_label
_atom_site_type_symbol
_atom_site_fract_x
_atom_site_fract_y
_atom_site_fract_z
_atom_site_occupancy
Tb1 Tb 0.750 0.375 0.125 1
Tb2 Tb 0.875 0.750 0.125 1
Tb3 Tb 0.375 0.750 0.625 1
Tb4 Tb 0.250 0.125 0.375 1
Tb5 Tb 0.875 0.125 0.250 1
Tb6 Tb 0.375 0.625 0.250 1
Tb7 Tb 0.625 0.375 0.750 1
Tb8 Tb 0.125 0.875 0.750 1
Tb9 Tb 0.750 0.875 0.625 1
Tb10 Tb 0.625 0.250 0.375 1
Tb11 Tb 0.125 0.250 0.875 1
Tb12 Tb 0.250 0.625 0.875 1
Na1 Na 0.125 0.375 0.250 1
Na2 Na 0.000 0.500 0.000 1
Na3 Na 0.000 0.000 0.000 1
Na4 Na 0.375 0.250 0.125 1
Na5 Na 0.500 0.000 0.500 1
Na6 Na 0.500 0.500 0.000 1
Na7 Na 0.125 0.750 0.375 1
Na8 Na 0.750 0.125 0.875 1
Na9 Na 0.750 0.625 0.375 1
Na10 Na 0.375 0.125 0.750 1
Na11 Na 0.625 0.875 0.250 1
Na12 Na 0.500 0.500 0.500 1
Na13 Na 0.500 0.000 0.000 1
Na14 Na 0.000 0.000 0.500 1
Na15 Na 0.250 0.375 0.625 1
Na16 Na 0.250 0.875 0.125 1
Na17 Na 0.000 0.500 0.500 1
Na18 Na 0.875 0.250 0.625 1
Na19 Na 0.625 0.750 0.875 1
Na20 Na 0.875 0.625 0.750 1
H1 H 0.733 0.146 0.063 1
H2 H 0.330 0.563 0.416 1
H3 H 0.937 0.354 0.267 1
H4 H 0.563 0.233 0.146 1
H5 H 0.587 0.733 0.670 1
H6 H 0.937 0.584 0.170 1
H7 H 0.330 0.767 0.413 1
H8 H 0.084 0.913 0.146 1
H9 H 0.584 0.937 0.670 1
H10 H 0.733 0.587 0.170 1
H11 H 0.767 0.437 0.354 1
H12 H 0.830 0.916 0.063 1
H13 H 0.146 0.733 0.563 1
H14 H 0.354 0.416 0.087 1
H15 H 0.087 0.916 0.354 1
H16 H 0.413 0.146 0.584 1
H17 H 0.087 0.170 0.233 1
H18 H 0.437 0.670 0.084 1
H19 H 0.830 0.913 0.267 1
H20 H 0.146 0.413 0.084 1
H21 H 0.354 0.937 0.767 1
H22 H 0.584 0.646 0.413 1
H23 H 0.916 0.830 0.563 1
H24 H 0.767 0.330 0.913 1
H25 H 0.416 0.354 0.587 1
H26 H 0.084 0.170 0.437 1
H27 H 0.233 0.670 0.087 1
H28 H 0.170 0.087 0.733 1
H29 H 0.646 0.063 0.233 1
H30 H 0.854 0.587 0.916 1
H31 H 0.563 0.330 0.916 1
H32 H 0.587 0.854 0.416 1
H33 H 0.913 0.830 0.767 1
H34 H 0.913 0.084 0.646 1
H35 H 0.854 0.267 0.437 1
H36 H 0.170 0.084 0.937 1
H37 H 0.646 0.584 0.913 1
H38 H 0.416 0.063 0.330 1
H39 H 0.267 0.413 0.830 1
H40 H 0.233 0.563 0.646 1
H41 H 0.916 0.087 0.854 1
H42 H 0.670 0.233 0.587 1
H43 H 0.437 0.767 0.854 1
H44 H 0.063 0.416 0.830 1
H45 H 0.413 0.267 0.330 1
H46 H 0.063 0.646 0.733 1
H47 H 0.670 0.437 0.584 1
H48 H 0.267 0.854 0.937 1
```

Record 5
Below is an optimized crystal structure of NaTbH, with properties calculated at the GGA-PBE level.

CIF file:
```
data_NaTbH
_chemical_formula_sum 'Na1 Tb1 H1'
_symmetry_space_group_name_H-M 'P 1'
_symmetry_Int_Tables_number 1
_cell_length_a 3.465
_cell_length_b 3.465
_cell_length_c 6.354
_cell_angle_alpha 90.00
_cell_angle_beta 90.00
_cell_angle_gamma 120.00
loop_
_symmetry_equiv_pos_as_xyz
'x,y,z'
loop_
_atom_site_label
_atom_site_type_symbol
_atom_site_fract_x
_atom_site_fract_y
_atom_site_fract_z
_atom_site_occupancy
Na1 Na 0.000 0.000 0.063 1
Tb1 Tb 0.333 0.667 0.556 1
H1 H 0.667 0.333 0.382 1
```

Record 6
Below is an optimized crystal structure of Na2TbH6, with properties calculated at the GGA-PBE level.

CIF file:
```
data_Na2TbH6
_chemical_formula_sum 'Na2 Tb1 H6'
_symmetry_space_group_name_H-M 'P 1'
_symmetry_Int_Tables_number 1
_cell_length_a 5.651
_cell_length_b 5.651
_cell_length_c 5.651
_cell_angle_alpha 60.00
_cell_angle_beta 60.00
_cell_angle_gamma 60.00
loop_
_symmetry_equiv_pos_as_xyz
'x,y,z'
loop_
_atom_site_label
_atom_site_type_symbol
_atom_site_fract_x
_atom_site_fract_y
_atom_site_fract_z
_atom_site_occupancy
Na1 Na 0.750 0.750 0.750 1
Na2 Na 0.250 0.250 0.250 1
Tb1 Tb 0.000 0.000 0.000 1
H1 H 0.268 0.732 0.268 1
H2 H 0.732 0.268 0.268 1
H3 H 0.268 0.732 0.732 1
H4 H 0.732 0.268 0.732 1
H5 H 0.732 0.732 0.268 1
H6 H 0.268 0.268 0.732 1
```

Record 7
Below is an optimized crystal structure of Na5Tc2H12, with properties calculated at the GGA-PBE level.

CIF file:
```
data_Na5Tc2H12
_chemical_formula_sum 'Na5 Tc2 H12'
_symmetry_space_group_name_H-M 'P 1'
_symmetry_Int_Tables_number 1
_cell_length_a 7.526
_cell_length_b 6.334
_cell_length_c 6.334
_cell_angle_alpha 58.76
_cell_angle_beta 53.54
_cell_angle_gamma 53.54
loop_
_symmetry_equiv_pos_as_xyz
'x,y,z'
loop_
_atom_site_label
_atom_site_type_symbol
_atom_site_fract_x
_atom_site_fract_y
_atom_site_fract_z
_atom_site_occupancy
Na1 Na 0.950 0.275 0.275 1
Na2 Na 0.499 0.275 0.275 1
Na3 Na 0.500 0.000 0.000 1
Na4 Na 0.501 0.725 0.725 1
Na5 Na 0.050 0.725 0.725 1
Tc1 Tc 0.000 0.750 0.250 1
Tc2 Tc 0.000 0.250 0.750 1
H1 H 0.111 0.889 0.889 1
H2 H 0.221 0.057 0.502 1
H3 H 0.221 0.502 0.057 1
H4 H 0.763 0.224 0.776 1
H5 H 0.763 0.776 0.224 1
H6 H 0.880 0.500 0.500 1
H7 H 0.120 0.500 0.500 1
H8 H 0.237 0.776 0.224 1
H9 H 0.237 0.224 0.776 1
H10 H 0.779 0.943 0.498 1
H11 H 0.779 0.498 0.943 1
H12 H 0.889 0.111 0.111 1
```

Record 8
Below is an optimized crystal structure of Na3TcH7, with properties calculated at the GGA-PBE level.

CIF file:
```
data_Na3TcH7
_chemical_formula_sum 'Na3 Tc1 H7'
_symmetry_space_group_name_H-M 'P 1'
_symmetry_Int_Tables_number 1
_cell_length_a 5.582
_cell_length_b 5.582
_cell_length_c 5.259
_cell_angle_alpha 60.01
_cell_angle_beta 60.01
_cell_angle_gamma 91.36
loop_
_symmetry_equiv_pos_as_xyz
'x,y,z'
loop_
_atom_site_label
_atom_site_type_symbol
_atom_site_fract_x
_atom_site_fract_y
_atom_site_fract_z
_atom_site_occupancy
Na1 Na 0.707 0.209 0.559 1
Na2 Na 0.452 0.452 0.074 1
Na3 Na 0.209 0.707 0.559 1
Tc1 Tc 0.960 0.960 0.046 1
H1 H 0.212 0.212 0.982 1
H2 H 0.692 0.112 0.162 1
H3 H 0.033 0.273 0.670 1
H4 H 0.112 0.692 0.162 1
H5 H 0.658 0.658 0.466 1
H6 H 0.273 0.033 0.670 1
H7 H 0.816 0.816 0.901 1
```

Record 9
Below is an optimized crystal structure of Na2TcH6, with properties calculated at the GGA-PBE level.

Computed properties:
Offset from the most stable computed form ... 0 meV/atom

CIF file:
```
data_Na2TcH6
_chemical_formula_sum 'Na2 Tc1 H6'
_symmetry_space_group_name_H-M 'P 1'
_symmetry_Int_Tables_number 1
_cell_length_a 3.037
_cell_length_b 5.464
_cell_length_c 5.874
_cell_angle_alpha 117.72
_cell_angle_beta 104.88
_cell_angle_gamma 90.00
loop_
_symmetry_equiv_pos_as_xyz
'x,y,z'
loop_
_atom_site_label
_atom_site_type_symbol
_atom_site_fract_x
_atom_site_fract_y
_atom_site_fract_z
_atom_site_occupancy
Na1 Na 0.668 0.669 0.339 1
Na2 Na 0.332 0.331 0.661 1
Tc1 Tc 0.000 0.000 0.000 1
H1 H 0.131 0.344 0.263 1
H2 H 0.869 0.080 0.737 1
H3 H 0.869 0.656 0.737 1
H4 H 0.500 0.183 0.000 1
H5 H 0.131 0.920 0.263 1
H6 H 0.500 0.817 0.000 1
```

Record 10
Below is an optimized crystal structure of Na3TcH, with properties calculated at the GGA-PBE level.

CIF file:
```
data_Na3TcH
_chemical_formula_sum 'Na3 Tc1 H1'
_symmetry_space_group_name_H-M 'P 1'
_symmetry_Int_Tables_number 1
_cell_length_a 4.730
_cell_length_b 4.730
_cell_length_c 4.730
_cell_angle_alpha 90.00
_cell_angle_beta 90.00
_cell_angle_gamma 90.00
loop_
_symmetry_equiv_pos_as_xyz
'x,y,z'
loop_
_atom_site_label
_atom_site_type_symbol
_atom_site_fract_x
_atom_site_fract_y
_atom_site_fract_z
_atom_site_occupancy
Na1 Na 0.000 0.500 0.000 1
Na2 Na 0.000 0.000 0.500 1
Na3 Na 0.500 0.000 0.000 1
Tc1 Tc 0.500 0.500 0.500 1
H1 H 0.000 0.000 0.000 1
```

Record 11
Below is an optimized crystal structure of NaTcH, with properties calculated at the GGA-PBE level.

Computed properties:
Offset from the most stable computed form ... 53 meV/atom

CIF file:
```
data_NaTcH
_chemical_formula_sum 'Na2 Tc2 H2'
_symmetry_space_group_name_H-M 'P 1'
_symmetry_Int_Tables_number 1
_cell_length_a 2.935
_cell_length_b 3.069
_cell_length_c 9.959
_cell_angle_alpha 89.85
_cell_angle_beta 82.02
_cell_angle_gamma 90.00
loop_
_symmetry_equiv_pos_as_xyz
'x,y,z'
loop_
_atom_site_label
_atom_site_type_symbol
_atom_site_fract_x
_atom_site_fract_y
_atom_site_fract_z
_atom_site_occupancy
Na1 Na 0.258 0.264 0.410 1
Na2 Na 0.592 0.769 0.751 1
Tc1 Tc 0.977 0.267 0.995 1
Tc2 Tc 0.410 0.766 0.138 1
H1 H 0.062 0.269 0.816 1
H2 H 0.849 0.765 0.264 1
```

Record 12
Below is an optimized crystal structure of NaTc3H, with properties calculated at the GGA-PBE level.

Computed properties:
Offset from the most stable computed form ... 0 meV/atom

CIF file:
```
data_NaTc3H
_chemical_formula_sum 'Na1 Tc3 H1'
_symmetry_space_group_name_H-M 'P 1'
_symmetry_Int_Tables_number 1
_cell_length_a 3.999
_cell_length_b 3.999
_cell_length_c 3.999
_cell_angle_alpha 90.00
_cell_angle_beta 90.00
_cell_angle_gamma 90.00
loop_
_symmetry_equiv_pos_as_xyz
'x,y,z'
loop_
_atom_site_label
_atom_site_type_symbol
_atom_site_fract_x
_atom_site_fract_y
_atom_site_fract_z
_atom_site_occupancy
Na1 Na 0.500 0.500 0.500 1
Tc1 Tc 0.000 0.500 0.000 1
Tc2 Tc 0.000 0.000 0.500 1
Tc3 Tc 0.500 0.000 0.000 1
H1 H 0.000 0.000 0.000 1
```

no.,raw total energy (eV per cell)
1,-22.6
2,-26.6
3,-14.1
4,-265.3
5,-9.5
6,-25.1
7,-70.1
8,-39.4
9,-33.6
10,-13.5
11,-29.5
12,-31.9